No. 1
DFT (PBE-GGA) results for a relaxed structure of ThAl10Ru2.

Cell lengths 9.0913, 10.3436, 9.1972 Å; angles 90.00, 90.00, 90.00 degrees
With the nearest neighbours (Å) after each atom.
Space group Cmcm (No. 63)
Inequivalent atoms, fractional coordinates:
Th 0.0000 0.1270 0.2500 [4 per cell]  14 Al 3.18-3.35, 4 Ru 3.47
Al 0.0000 0.1588 0.6024 [8 per cell]  2 Ru 2.64, 8 Al 2.66-2.89
Al 0.0000 0.3778 0.0493 [8 per cell]  6 Al 2.66-2.84, 2 Ru 2.67
Al 0.1479 0.3688 0.7500 [8 per cell]  7 Al 2.69-2.91, 2 Ru 2.77
Al 0.2253 0.0000 0.0000 [8 per cell]  2 Ru 2.60, 6 Al 2.72-2.84
Al 0.2253 0.3673 0.2500 [8 per cell]  2 Ru 2.61, 8 Al 2.70-2.85
Ru 0.2500 0.2500 0.0000 [8 per cell]  10 Al 2.60-2.77

## Properties
final energy = -5.3904 eV/atom
energy of formation = -49.6 kJ/mol of atoms
DOS at the Fermi energy = 0.2783 states/eV per atom
magnetic moment = 0.0 Bohr magnetons per cell



No. 2
DFT (PBE-GGA) results for a relaxed structure of ThAlRu.

Cell lengths 3.2461, 3.2461, 11.4048 Å; angles 90.00, 90.00, 90.00 degrees
With the nearest neighbours (Å) after each atom.
Space group I4mm (No. 107)
Inequivalent atoms, fractional coordinates:
Th 0.0000 0.0000 0.0000 [2 per cell]  4 Ru 3.05, 5 Al 3.23-3.37, 4 Th 3.25
Al 0.0000 0.0000 0.2835 [2 per cell]  4 Ru 2.60
Ru 0.0000 0.0000 0.6759 [2 per cell]  4 Al 2.60

## Properties
final energy = -7.2350 eV/atom
energy of formation = -40.7 kJ/mol of atoms
DOS at the Fermi energy = 0.7802 states/eV per atom
magnetic moment = 0.0 Bohr magnetons per cell



No. 3
DFT (PBE-GGA) results for a relaxed structure of Th2Al3Ru.

Cell lengths 9.6109, 5.5405, 5.5925 Å; angles 90.00, 125.03, 90.00 degrees
With the nearest neighbours (Å) after each atom.
Space group C2/m (No. 12)
Inequivalent atoms, fractional coordinates:
Th 0.1287 0.0000 0.3867 [4 per cell]  9 Al 3.23-3.29, 3 Ru 3.24-3.25, 4 Th 3.36-3.54
Al 0.0000 0.5000 0.0000 [2 per cell]  4 Al 2.77, 2 Ru 2.80
Al 0.2500 0.2500 0.0000 [4 per cell]  4 Al 2.77, 2 Ru 2.79
Ru 0.0000 0.5000 0.5000 [2 per cell]  6 Al 2.79-2.80

## Properties
final energy = -6.3810 eV/atom
energy of formation = -47.3 kJ/mol of atoms
DOS at the Fermi energy = 0.6153 states/eV per atom
magnetic moment = 0.0 Bohr magnetons per cell



Which of these has the lowest energy of formation? ThAl10Ru2